Compound: TbPm2Dy2Ho4
Source: Alexandria via LeMat-Bulk
Functional: PBE
Structure: optimized geometry

Properties
ΔE_f = -0.004 eV/atom

Unit cell a=3.590 b=9.490 c=9.541 alpha=115.22 beta=90.00 gamma=100.90
Fractional positions:
Ho 0.814 0.629 0.664
Ho 0.519 0.039 0.335
Ho 0.481 0.961 0.665
Ho 0.186 0.371 0.336
Pm 0.666 0.332 0.000
Pm 0.334 0.668 0.000
Dy 0.853 0.706 0.337
Dy 0.147 0.294 0.663
Tb 0.000 0.000 0.000